Record 1
{"formula": "PrDyLuHg", "functional": "PBE-GGA", "state": "optimized geometry", "lattice": [[5.456, 0.000, 0.000], [2.728, 4.725, 0.000], [2.728, 1.575, 4.455]], "species": ["Pr", "Lu", "Hg", "Dy"], "frac_coords": [[0.500, 0.500, 0.500], [0.750, 0.750, 0.750], [0.250, 0.250, 0.250], [0.000, 0.000, 0.000]], "delta_e_f_ev_per_atom": -0.07, "mass_density_g_cm3": 9.8, "spacegroup": "F-43m, No. 216", "energy_ev_per_cell": -14.50}


Record 2
{"formula": "ZrRe2Tc2", "functional": "PBE-GGA", "state": "optimized geometry", "lattice": [[-1.250, -6.311, 4.142], [7.401, -1.851, -0.587], [0.547, 1.439, 2.357]], "species": ["Re", "Re", "Re", "Re", "Tc", "Tc", "Tc", "Tc", "Zr", "Zr"], "frac_coords": [[0.167, 0.667, 0.500], [0.667, 0.833, 0.500], [0.833, 0.333, 0.500], [0.333, 0.167, 0.500], [0.371, 0.871, 0.000], [0.871, 0.629, 0.000], [0.629, 0.129, 0.000], [0.129, 0.371, 0.000], [0.000, 0.000, 0.000], [0.500, 0.500, 0.000]], "delta_e_f_ev_per_atom": 0.06, "mass_density_g_cm3": 13.3, "spacegroup": "P4/mbm, No. 127", "energy_ev_per_cell": -107.71}


Record 3
{"formula": "IrSe2I2", "functional": "PBE-GGA", "state": "optimized geometry", "lattice": [[-4.079, -5.573, -1.690], [3.608, -4.038, 4.607], [-5.067, 1.980, 5.703]], "species": ["I", "I", "I", "I", "Ir", "Ir", "Se", "Se", "Se", "Se"], "frac_coords": [[0.323, 0.823, 0.000], [0.823, 0.677, 0.000], [0.677, 0.177, 0.000], [0.177, 0.323, 0.000], [0.000, 0.000, 0.000], [0.500, 0.500, 0.000], [0.110, 0.610, 0.500], [0.610, 0.890, 0.500], [0.890, 0.390, 0.500], [0.390, 0.110, 0.500]], "raw_formation_energy_ev_per_atom": 0.5847, "mass_density_g_cm3": 5.0, "spacegroup": "P4/mbm, No. 127", "energy_ev_per_cell": -32.01}


Record 4
{"formula": "MgIn2Bi", "functional": "PBE-GGA", "state": "optimized geometry", "lattice": [[-3.253, 3.065, -0.346], [-0.480, 0.001, 4.529], [9.748, 5.581, 1.033]], "species": ["Mg", "Mg", "In", "In", "In", "In", "Bi", "Bi"], "frac_coords": [[0.797, 0.750, 0.364], [0.203, 0.250, 0.636], [0.609, 0.250, 0.126], [0.391, 0.750, 0.874], [0.110, 0.750, 0.127], [0.890, 0.250, 0.873], [0.289, 0.250, 0.373], [0.711, 0.750, 0.627]], "delta_e_f_ev_per_atom": -0.04, "mass_density_g_cm3": 7.0, "spacegroup": "P2_1/m, No. 11", "energy_ev_per_cell": -22.22}


Record 5
{"formula": "CeGa6Tc2", "functional": "PBE-GGA", "state": "optimized geometry", "lattice": [[-0.866, 0.793, 3.402], [-7.383, -0.892, 0.233], [-3.471, -6.110, 2.445]], "species": ["Ce", "Ga", "Ga", "Ga", "Ga", "Ga", "Ga", "Tc", "Tc"], "frac_coords": [[0.000, 0.000, 0.000], [0.684, 0.016, 0.616], [0.316, 0.984, 0.384], [0.316, 0.384, 0.984], [0.500, 0.670, 0.330], [0.500, 0.330, 0.670], [0.684, 0.616, 0.016], [0.868, 0.632, 0.632], [0.132, 0.368, 0.368]], "delta_e_f_ev_per_atom": -0.15, "mass_density_g_cm3": 8.0, "spacegroup": "Immm, No. 71", "energy_ev_per_cell": -46.16}


Record 6
{"formula": "Sr2InCuBi", "functional": "PBE-GGA", "state": "optimized geometry", "lattice": [[6.359, 0.000, 0.000], [0.000, 5.767, 0.000], [0.000, 0.000, 6.359]], "species": ["Sr", "Sr", "Bi", "Cu", "In"], "frac_coords": [[0.000, 0.000, 0.500], [0.500, 0.000, 0.000], [0.000, 0.000, 0.000], [0.500, 0.500, 0.500], [0.000, 0.500, 0.000]], "delta_e_f_ev_per_atom": 0.28, "mass_density_g_cm3": 4.0, "spacegroup": "P4/mmm, No. 123", "energy_ev_per_cell": -12.66}


Record 7
{"formula": "PmPaAgPd", "functional": "PBE-GGA", "state": "optimized geometry", "lattice": [[-4.503, -1.897, -1.495], [-0.491, -2.046, -4.657], [-0.599, -5.048, -0.523]], "species": ["Pa", "Pd", "Ag", "Pm"], "frac_coords": [[0.000, 0.000, 0.000], [0.750, 0.750, 0.750], [0.250, 0.250, 0.250], [0.500, 0.500, 0.500]], "delta_e_f_ev_per_atom": -0.14, "mass_density_g_cm3": 10.4, "spacegroup": "F-43m, No. 216", "energy_ev_per_cell": -22.86}


Record 8
{"formula": "Sn2BiPb8", "functional": "PBE-GGA", "state": "optimized geometry", "lattice": [[-0.850, 4.792, -4.404], [-2.728, -5.594, -6.464], [-7.763, -3.330, -3.029]], "species": ["Sn", "Sn", "Bi", "Pb", "Pb", "Pb", "Pb", "Pb", "Pb", "Pb", "Pb"], "frac_coords": [[0.559, 0.748, 0.748], [0.441, 0.252, 0.252], [0.000, 0.000, 0.000], [0.366, 0.343, 0.835], [0.634, 0.165, 0.657], [0.060, 0.793, 0.793], [0.940, 0.207, 0.207], [0.366, 0.835, 0.343], [0.634, 0.657, 0.165], [0.890, 0.597, 0.597], [0.110, 0.403, 0.403]], "delta_e_f_ev_per_atom": 0.08, "mass_density_g_cm3": 9.8, "spacegroup": "C2/m, No. 12", "energy_ev_per_cell": -40.62}